First-principles (PBE) data for crystalline AlSi2Cl at its relaxed geometry, as listed in Alexandria via LeMat-Bulk.

As for the density of states at the Fermi level: 0.048 states/eV/atom. For the total energy, the calculation gives -4.29 eV/atom. Its space-group type is Amm2. Its mass density is 2.252 g cm⁻³. The value obtained for the volume is 21.87 A^3/atom. Its uncorrected formation energy is -0.18 eV per atom. As for the crystal system: orthorhombic.

```
AlSi2Cl
1.0
3.7923 0.0000 0.0000
0.0000 8.7609 0.0000
0.0000 0.0000 10.5302
Si Al Cl
8 4 4
direct
0.0000 0.1358 0.8620
0.0000 0.8642 0.8620
0.0000 0.6358 0.3620
0.0000 0.3642 0.3620
0.5000 0.8641 0.7205
0.5000 0.1359 0.7205
0.5000 0.3641 0.2205
0.5000 0.6359 0.2205
0.0000 0.2491 0.5796
0.0000 0.7509 0.5796
0.0000 0.7491 0.0796
0.0000 0.2509 0.0796
0.0000 0.0000 0.4840
0.0000 0.5000 0.9840
0.0000 0.0000 0.1752
0.0000 0.5000 0.6752
```

***

First-principles (PBE) data for crystalline AlSiCl2 at its relaxed geometry, as listed in Alexandria via LeMat-Bulk.

As for the density of states at the Fermi level: 0.874 states/eV/atom. For the total energy, the calculation gives -2.91 eV/atom. Its space-group type is F-43m. Its mass density is 2.650 g cm⁻³. The value obtained for the volume is 19.74 A^3/atom. Its uncorrected formation energy is 0.30 eV per atom. As for the crystal system: cubic.

```
AlSiCl2
1.0
4.8153 0.0000 0.0000
2.4076 4.1701 0.0000
2.4076 1.3900 3.9316
Si Al Cl
1 1 2
direct
0.2500 0.2500 0.2500
0.5000 0.5000 0.5000
0.0000 0.0000 0.0000
0.7500 0.7500 0.7500
```

***

First-principles (PBE) data for crystalline AlSiCl at its relaxed geometry, as listed in Alexandria via LeMat-Bulk.

As for the density of states at the Fermi level: 0.468 states/eV/atom. For the total energy, the calculation gives -3.65 eV/atom. Its space-group type is Fmm2. Its mass density is 2.316 g cm⁻³. The value obtained for the volume is 21.63 A^3/atom. Its uncorrected formation energy is 0.02 eV per atom. As for the crystal system: orthorhombic.

```
AlSiCl
1.0
7.9428 -0.0133 0.0078
6.9101 3.0696 -0.0337
1.0327 -1.5370 2.6726
Si Al Cl
1 1 1
direct
0.6320 0.6320 0.3680
0.9942 0.9942 0.0058
0.3738 0.3738 0.6262
```

***

First-principles (PBE) data for crystalline AlSi2Cl at its relaxed geometry, as listed in Alexandria via LeMat-Bulk.

As for the density of states at the Fermi level: 0.490 states/eV/atom. For the total energy, the calculation gives -3.72 eV/atom. Its space-group type is P4/mmm. Its mass density is 2.606 g cm⁻³. The value obtained for the volume is 18.89 A^3/atom. Its uncorrected formation energy is 0.38 eV per atom. As for the crystal system: tetragonal.

```
AlSi2Cl
1.0
5.8056 0.0000 0.0000
0.0000 3.6078 0.0000
0.0000 0.0000 3.6078
Si Al Cl
2 1 1
direct
0.0000 0.0000 0.0000
0.0000 0.5000 0.5000
0.5000 0.5000 0.0000
0.5000 0.0000 0.5000
```

***

First-principles (PBE) data for crystalline AlSi2Cl at its relaxed geometry, as listed in Alexandria via LeMat-Bulk.

As for the density of states at the Fermi level: 0.212 states/eV/atom. For the total energy, the calculation gives -4.26 eV/atom. Its space-group type is Cm. Its mass density is 2.383 g cm⁻³. The value obtained for the volume is 20.67 A^3/atom. Its uncorrected formation energy is -0.15 eV per atom. As for the crystal system: monoclinic.

```
AlSi2Cl
1.0
-5.7053 5.6959 3.0339
-1.9763 -2.6109 1.1854
7.8912 -2.2136 8.2808
Si Al Cl
8 4 4
direct
0.9726 0.0000 0.9224
0.9726 0.5000 0.4224
0.9769 0.0000 0.5724
0.9769 0.5000 0.0724
0.1429 0.0000 0.7849
0.1429 0.5000 0.2849
0.7595 0.0000 0.0273
0.7595 0.5000 0.5273
0.4536 0.0000 0.8989
0.4536 0.5000 0.3989
0.9008 0.0000 0.2506
0.9008 0.5000 0.7506
0.5057 0.0000 0.2771
0.5057 0.5000 0.7771
0.4049 0.0000 0.5224
0.4049 0.5000 0.0224
```

***

First-principles (PBE) data for crystalline AlSi2Cl at its relaxed geometry, as listed in Alexandria via LeMat-Bulk.

As for the density of states at the Fermi level: 0.093 states/eV/atom. For the total energy, the calculation gives -4.34 eV/atom. Its space-group type is Cm. Its mass density is 2.038 g cm⁻³. The value obtained for the volume is 24.16 A^3/atom. Its uncorrected formation energy is -0.23 eV per atom. As for the crystal system: monoclinic.

```
AlSi2Cl
1.0
6.8664 0.0000 0.0006
0.0000 3.7736 0.0000
-3.8798 0.0000 14.9153
Si Al Cl
8 4 4
direct
0.0145 0.0000 0.0144
0.0145 0.5000 0.5144
0.6175 0.0000 0.5391
0.6175 0.5000 0.0391
0.8215 0.0000 0.4348
0.8215 0.5000 0.9348
0.7903 0.0000 0.1127
0.7903 0.5000 0.6127
0.7648 0.0000 0.2708
0.7648 0.5000 0.7708
0.2455 0.0000 0.4841
0.2455 0.5000 0.9841
0.5407 0.0000 0.7506
0.5407 0.5000 0.2506
0.1890 0.0000 0.3351
0.1890 0.5000 0.8351
```

***

First-principles (PBE) data for crystalline AlSiCl2 at its relaxed geometry, as listed in Alexandria via LeMat-Bulk.

As for the density of states at the Fermi level: 0.342 states/eV/atom. For the total energy, the calculation gives -3.38 eV/atom. Its space-group type is P2/m. Its mass density is 2.630 g cm⁻³. The value obtained for the volume is 19.89 A^3/atom. Its uncorrected formation energy is -0.16 eV per atom. As for the crystal system: monoclinic.

```
AlSiCl2
1.0
3.1704 0.0000 0.0000
0.0000 5.1099 -1.6475
0.0000 1.4394 4.4458
Si Al Cl
1 1 2
direct
0.5000 0.5000 0.5000
0.0000 0.0000 0.5000
0.0000 0.0000 0.0000
0.5000 0.5000 0.0000
```

***

First-principles (PBE) data for crystalline AlSi2Cl at its relaxed geometry, as listed in Alexandria via LeMat-Bulk.

As for the density of states at the Fermi level: 0.085 states/eV/atom. For the total energy, the calculation gives -4.35 eV/atom. Its space-group type is P1. Its mass density is 2.114 g cm⁻³. The value obtained for the volume is 23.29 A^3/atom. Its uncorrected formation energy is -0.24 eV per atom. As for the crystal system: triclinic.

```
AlSi2Cl
1.0
-0.9815 -3.4541 1.3579
1.3765 -2.7062 -5.8615
6.6626 -3.2686 1.9202
Si Al Cl
4 2 2
direct
0.2145 0.9679 0.9922
0.7701 0.3891 0.8796
0.6455 0.1165 0.1298
0.3326 0.2534 0.7550
0.4773 0.1090 0.4671
0.6973 0.7042 0.0281
0.5552 0.5757 0.3180
0.9379 0.9004 0.5472
```

***

Q: mass density of number 6 (AlSi2Cl)?
A: 2.038 g cm⁻³